(1)
DFT (PBE) results for a geometry-optimized Cs2H2SBr2 structure.

Cell lengths 4.9635, 7.6753, 9.4676 Å; angles 51.72, 89.99, 63.75 degrees
Fractional positions:
H1 0.6872 0.2783 0.8614
S1 0.0000 0.0000 0.0000
H2 0.3128 0.7217 0.1386
Cs1 0.4998 0.0004 0.7376
Cs2 0.5002 0.9996 0.2624
Br1 0.7117 0.3943 0.3018
Br2 0.2883 0.6057 0.6982

Calculated values
The density of states at the Fermi level comes out at 0.0 states/eV per cell. The total energy is -3.139 eV per atom.



(2)
DFT (PBE) results for a geometry-optimized CsSbH2Br8 structure.

Cell lengths 7.3430, 7.7388, 10.1579 Å; angles 93.99, 74.19, 122.24 degrees
Fractional positions:
Sb1 0.0000 0.0000 0.0000
Br1 0.5635 0.7896 0.0652
Cs1 0.0000 0.0000 0.5000
Br2 0.0129 0.2496 0.8328
Br3 0.6314 0.3189 0.5535
Br4 0.3686 0.6811 0.4465
H1 0.5432 0.2756 0.7045
Br5 0.4365 0.2104 0.9348
Br6 0.9940 0.2352 0.1959
H2 0.4568 0.7244 0.2955
Br7 0.9871 0.7504 0.1672
Br8 0.0060 0.7648 0.8041

Calculated values
The total energy is -2.679 eV per atom.